Entry 1:
A plane-wave DFT calculation with PBE-GGA was carried out for a relaxed structure of TmP3O9.

Results
The value obtained for the formation energy (no corrections) is -245.5 kJ per mole of atoms. The value obtained for the density of states at the Fermi level is 0.00 states/eV/f.u. The value obtained for the energy relative to the lowest polymorph listed for this composition is 0.000 eV per atom.

a = 20.2510 Å, b = 10.1554 Å, c = 11.4089 Å
α = 82.24°, β = 90.00°, γ = 90.00°
Positions (direct):
1 Tm 0.1754 0.5230 0.5022
2 Tm 0.6754 0.9770 0.4978
3 Tm 0.8246 0.4770 0.4978
4 Tm 0.3246 0.0230 0.5022
5 Tm 0.6568 0.9852 0.9996
6 Tm 0.1568 0.5148 0.0004
7 Tm 0.3432 0.0148 0.0004
8 Tm 0.8432 0.4852 0.9996
9 Tm 0.0000 0.0000 0.5000
10 Tm 0.5000 0.5000 0.5000
11 Tm 0.0000 0.0000 0.0000
12 Tm 0.5000 0.5000 0.0000
13 P 0.5541 0.9730 0.2655
14 P 0.0541 0.5270 0.7345
15 P 0.4459 0.0270 0.7345
16 P 0.9459 0.4730 0.2655
17 P 0.5429 0.8185 0.8273
18 P 0.0429 0.6815 0.1727
19 P 0.4571 0.1815 0.1727
20 P 0.9571 0.3185 0.8273
21 P 0.3767 0.3216 0.3488
22 P 0.8767 0.1784 0.6512
23 P 0.6233 0.6784 0.6512
24 P 0.1233 0.8216 0.3488
25 P 0.2727 0.5069 0.2399
26 P 0.7727 0.9931 0.7601
27 P 0.7273 0.4931 0.7601
28 P 0.2273 0.0069 0.2399
29 P 0.1168 0.1916 0.1469
30 P 0.6168 0.3084 0.8531
31 P 0.8832 0.8084 0.8531
32 P 0.3832 0.6916 0.1469
33 P 0.0625 0.3101 0.3609
34 P 0.5625 0.1899 0.6391
35 P 0.9375 0.6899 0.6391
36 P 0.4375 0.8101 0.3609
37 P 0.2102 0.1957 0.6707
38 P 0.7102 0.3043 0.3293
39 P 0.7898 0.8043 0.3293
40 P 0.2898 0.6957 0.6707
41 P 0.7794 0.1784 0.1349
42 P 0.2794 0.3216 0.8651
43 P 0.2206 0.8216 0.8651
44 P 0.7206 0.6784 0.1349
45 P 0.8902 0.0180 0.2480
46 P 0.3902 0.4820 0.7520
47 P 0.1098 0.9820 0.7520
48 P 0.6098 0.5180 0.2480
49 O 0.5905 0.9615 0.3803
50 O 0.0905 0.5385 0.6197
51 O 0.4095 0.0385 0.6197
52 O 0.9095 0.4615 0.3803
53 O 0.5924 0.9611 0.1552
54 O 0.0924 0.5389 0.8448
55 O 0.4076 0.0389 0.8448
56 O 0.9076 0.4611 0.1552
57 O 0.5185 0.6939 0.8983
58 O 0.0185 0.8061 0.1017
59 O 0.4815 0.3061 0.1017
60 O 0.9815 0.1939 0.8983
61 O 0.5766 0.9195 0.8905
62 O 0.0766 0.5805 0.1095
63 O 0.4234 0.0805 0.1095
64 O 0.9234 0.4195 0.8905
65 O 0.4255 0.4213 0.3821
66 O 0.9255 0.0787 0.6179
67 O 0.5745 0.5787 0.6179
68 O 0.0745 0.9213 0.3821
69 O 0.3389 0.2398 0.4454
70 O 0.8389 0.2602 0.5546
71 O 0.6611 0.7602 0.5546
72 O 0.1611 0.7398 0.4454
73 O 0.2538 0.5342 0.3617
74 O 0.7538 0.9658 0.6383
75 O 0.7462 0.4658 0.6383
76 O 0.2462 0.0342 0.3617
77 O 0.2184 0.4736 0.1602
78 O 0.7184 0.0264 0.8398
79 O 0.7816 0.5264 0.8398
80 O 0.2816 0.9736 0.1602
81 O 0.0680 0.0874 0.1231
82 O 0.5680 0.4126 0.8769
83 O 0.9320 0.9126 0.8769
84 O 0.4320 0.5874 0.1231
85 O 0.1214 0.3109 0.0547
86 O 0.6214 0.1891 0.9453
87 O 0.8786 0.6891 0.9453
88 O 0.3786 0.8109 0.0547
89 O 0.1018 0.4245 0.3943
90 O 0.6018 0.0755 0.6057
91 O 0.8982 0.5755 0.6057
92 O 0.3982 0.9245 0.3943
93 O 0.0373 0.2077 0.4578
94 O 0.5373 0.2923 0.5422
95 O 0.9627 0.7923 0.5422
96 O 0.4627 0.7077 0.4578
97 O 0.4833 0.8862 0.7481
98 O 0.9833 0.6138 0.2519
99 O 0.5167 0.1138 0.2519
100 O 0.0167 0.3862 0.7481
101 O 0.5907 0.7853 0.7240
102 O 0.0907 0.7147 0.2760
103 O 0.4093 0.2147 0.2760
104 O 0.9093 0.2853 0.7240
105 O 0.3269 0.3907 0.2484
106 O 0.8269 0.1093 0.7516
107 O 0.6731 0.6093 0.7516
108 O 0.1731 0.8907 0.2484
109 O 0.1897 0.1309 0.1660
110 O 0.6897 0.3691 0.8340
111 O 0.8103 0.8691 0.8340
112 O 0.3103 0.6309 0.1660
113 O 0.1064 0.2328 0.2759
114 O 0.6064 0.2672 0.7241
115 O 0.8936 0.7672 0.7241
116 O 0.3936 0.7328 0.2759
117 O 0.4965 0.8634 0.2719
118 O 0.9965 0.6366 0.7281
119 O 0.5035 0.1366 0.7281
120 O 0.0035 0.3634 0.2719
121 O 0.1965 0.3206 0.5889
122 O 0.6965 0.1794 0.4111
123 O 0.8035 0.6794 0.4111
124 O 0.3035 0.8206 0.5889
125 O 0.2570 0.0965 0.6308
126 O 0.7570 0.4035 0.3692
127 O 0.7430 0.9035 0.3692
128 O 0.2430 0.5965 0.6308
129 O 0.7405 0.0664 0.0959
130 O 0.2405 0.4336 0.9041
131 O 0.2595 0.9336 0.9041
132 O 0.7595 0.5664 0.0959
133 O 0.8144 0.2722 0.0423
134 O 0.3144 0.2278 0.9577
135 O 0.1856 0.7278 0.9577
136 O 0.6856 0.7722 0.0423
137 O 0.9343 0.0491 0.3459
138 O 0.4343 0.4509 0.6541
139 O 0.0657 0.9509 0.6541
140 O 0.5657 0.5491 0.3459
141 O 0.9182 0.0172 0.1266
142 O 0.4182 0.4828 0.8734
143 O 0.0818 0.9828 0.8734
144 O 0.5818 0.5172 0.1266
145 O 0.2318 0.2316 0.7976
146 O 0.7318 0.2684 0.2024
147 O 0.7682 0.7684 0.2024
148 O 0.2682 0.7316 0.7976
149 O 0.8294 0.1213 0.2404
150 O 0.3294 0.3787 0.7596
151 O 0.1706 0.8787 0.7596
152 O 0.6706 0.6213 0.2404
153 O 0.1413 0.1257 0.7082
154 O 0.6413 0.3743 0.2918
155 O 0.8587 0.8743 0.2918
156 O 0.3587 0.6257 0.7082

Entry 2:
A plane-wave DFT calculation with PBE-GGA was carried out for a relaxed structure of Tm2P4O13.

Results
The value obtained for the formation energy (no corrections) is -259.9 kJ per mole of atoms. The value obtained for the density of states at the Fermi level is 0.00 states/eV/f.u. The value obtained for the energy relative to the lowest polymorph listed for this composition is 0.008 eV per atom.

a = 8.9890 Å, b = 9.4501 Å, c = 13.9248 Å
α = 90.00°, β = 107.70°, γ = 90.00°
Positions (direct):
1 Tm 0.0270 0.9970 0.7210
2 Tm 0.0270 0.5030 0.2210
3 Tm 0.4430 0.9979 0.7288
4 Tm 0.5570 0.4979 0.7712
5 Tm 0.4430 0.5021 0.2288
6 Tm 0.5570 0.0021 0.2712
7 Tm 0.9730 0.4970 0.7790
8 Tm 0.9730 0.0030 0.2790
9 P 0.1686 0.7649 0.9382
10 P 0.2893 0.2624 0.8421
11 P 0.2146 0.7011 0.6580
12 P 0.1686 0.7351 0.4382
13 P 0.5102 0.7586 0.9423
14 P 0.2893 0.2376 0.3421
15 P 0.2146 0.7989 0.1580
16 P 0.4898 0.2586 0.5577
17 P 0.5102 0.7414 0.4423
18 P 0.7854 0.2011 0.8420
19 P 0.7107 0.7624 0.6579
20 P 0.4898 0.2414 0.0577
21 P 0.8314 0.2649 0.5618
22 P 0.7854 0.2989 0.3420
23 P 0.7107 0.7376 0.1579
24 P 0.8314 0.2351 0.0618
25 O 0.0744 0.6307 0.9123
26 O 0.1305 0.8814 0.8617
27 O 0.1404 0.3333 0.8459
28 O 0.1071 0.6224 0.7045
29 O 0.0744 0.8693 0.4123
30 O 0.1466 0.6697 0.5384
31 O 0.3507 0.7214 0.9687
32 O 0.2546 0.1311 0.7712
33 O 0.2117 0.8652 0.6706
34 O 0.1305 0.6186 0.3617
35 O 0.3751 0.1916 0.9514
36 O 0.1404 0.1667 0.3459
37 O 0.1071 0.8776 0.2045
38 O 0.4023 0.3634 0.8172
39 O 0.4839 0.8839 0.8731
40 O 0.3810 0.6469 0.6923
41 O 0.1466 0.8303 0.0384
42 O 0.3507 0.7786 0.4687
43 O 0.2546 0.3689 0.2712
44 O 0.2117 0.6348 0.1706
45 O 0.4291 0.1250 0.5913
46 O 0.3751 0.3084 0.4514
47 O 0.5709 0.6250 0.9087
48 O 0.6190 0.1469 0.8077
49 O 0.5161 0.3839 0.6269
50 O 0.4023 0.1366 0.3172
51 O 0.5977 0.8634 0.6828
52 O 0.4839 0.6161 0.3731
53 O 0.3810 0.8531 0.1923
54 O 0.4291 0.3750 0.0913
55 O 0.6249 0.6916 0.5486
56 O 0.5709 0.8750 0.4087
57 O 0.7883 0.3652 0.8294
58 O 0.7454 0.6311 0.7288
59 O 0.6493 0.2214 0.5313
60 O 0.8534 0.1697 0.9616
61 O 0.6190 0.3531 0.3077
62 O 0.5161 0.1161 0.1269
63 O 0.5977 0.6366 0.1828
64 O 0.8929 0.1224 0.7955
65 O 0.8596 0.8333 0.6541
66 O 0.6249 0.8084 0.0486
67 O 0.8695 0.3814 0.6383
68 O 0.7883 0.1348 0.3294
69 O 0.7454 0.8689 0.2288
70 O 0.6493 0.2786 0.0313
71 O 0.8534 0.3303 0.4616
72 O 0.9256 0.1307 0.5877
73 O 0.8929 0.3776 0.2955
74 O 0.8596 0.6667 0.1541
75 O 0.8695 0.1186 0.1383
76 O 0.9256 0.3693 0.0877

Entry 3:
A plane-wave DFT calculation with PBE-GGA was carried out for a relaxed structure of U5P4O.

Results
The value obtained for the formation energy (no corrections) is -112.4 kJ per mole of atoms. The value obtained for the density of states at the Fermi level is 26.08 states/eV/f.u.

a = 5.4721 Å, b = 6.6272 Å, c = 6.6272 Å
α = 80.19°, β = 65.62°, γ = 65.62°
Last column: magnetic moment on the atom in μB.
Positions (direct):
1 U 0.9050 0.3750 0.8170  1.82
2 U 0.2800 0.8170 0.6250  1.82
3 U 0.7220 0.1830 0.3750  1.82
4 U 0.0970 0.6250 0.1830  1.82
5 U 0.5010 0.0000 0.0000  2.00
6 P 0.4111 0.3950 0.7848  -0.07
7 P 0.8061 0.7848 0.6050  -0.07
8 P 0.1959 0.2152 0.3950  -0.07
9 P 0.5909 0.6050 0.2152  -0.07
10 O 0.0012 0.0000 0.0000  -0.08

Entry 4:
A plane-wave DFT calculation with PBE-GGA was carried out for a relaxed structure of UPO5.

Results
The value obtained for the formation energy (no corrections) is -264.4 kJ per mole of atoms. The value obtained for the density of states at the Fermi level is 0.09 states/eV/f.u. The value obtained for the energy relative to the lowest polymorph listed for this composition is 0.021 eV per atom.

a = 5.6613 Å, b = 5.6613 Å, c = 14.6792 Å
α = 90.00°, β = 90.00°, γ = 104.56°
Last column: magnetic moment on the atom in μB.
Positions (direct):
1 U 0.4095 0.5905 0.3991  1.08
2 U 0.5905 0.4095 0.6009  1.08
3 U 0.0905 0.9095 0.8991  1.08
4 U 0.9095 0.0905 0.1009  1.08
5 P 0.9993 0.0007 0.6520  0.00
6 P 0.0007 0.9993 0.3481  0.00
7 P 0.5007 0.4993 0.1520  0.00
8 P 0.4993 0.5007 0.8480  0.00
9 O 0.8893 0.7467 0.6106  -0.01
10 O 0.7467 0.8893 0.3894  -0.01
11 O 0.2467 0.3893 0.1106  -0.01
12 O 0.3893 0.2467 0.8894  -0.01
13 O 0.1107 0.2533 0.3894  -0.01
14 O 0.2533 0.1107 0.6106  -0.01
15 O 0.7533 0.6107 0.8894  -0.01
16 O 0.6107 0.7533 0.1106  -0.01
17 O 0.0233 0.9767 0.7570  -0.01
18 O 0.9767 0.0233 0.2430  -0.01
19 O 0.4767 0.5233 0.2570  -0.01
20 O 0.5233 0.4767 0.7430  -0.01
21 O 0.8285 0.1715 0.6340  -0.01
22 O 0.1715 0.8285 0.3660  -0.01
23 O 0.6715 0.3285 0.1340  -0.01
24 O 0.3285 0.6715 0.8660  -0.01
25 O 0.3793 0.6207 0.5404  -0.05
26 O 0.6207 0.3793 0.4596  -0.05
27 O 0.1207 0.8793 0.0404  -0.05
28 O 0.8793 0.1207 0.9596  -0.05

Entry 5:
A plane-wave DFT calculation with PBE-GGA was carried out for a relaxed structure of UPO.

Results
The value obtained for the formation energy (no corrections) is -183.5 kJ per mole of atoms. The value obtained for the density of states at the Fermi level is 4.85 states/eV/f.u. The value obtained for the energy relative to the lowest polymorph listed for this composition is 0.000 eV per atom.

a = 3.7489 Å, b = 5.0797 Å, c = 6.6751 Å
α = 68.74°, β = 73.69°, γ = 68.35°
Last column: magnetic moment on the atom in μB.
Positions (direct):
1 P 0.4404 0.2289 0.8903  -0.05
2 P 0.5596 0.7711 0.1097  -0.05
3 U 0.8018 0.1438 0.2525  1.90
4 U 0.1982 0.8562 0.7475  1.90
5 O 0.8116 0.7985 0.5784  -0.07
6 O 0.1884 0.2015 0.4216  -0.07

Volume list, top to bottom, in Å³/atom: 14.903 14.828 19.937 16.263 18.085
Mass density list, top to bottom, in g/cm3: 3.48 3.95 11.08 5.09 8.72
Magnetization list, top to bottom, in μB per formula unit: 0.0 0.0 10.1 1.0 2.0